Entry from the Alexandria database: a relaxed structure of La3Nd8 (PBE-GGA).

Unit cell a=11.7551 b=5.2170 c=13.3486 alpha=90.00 beta=105.07 gamma=90.00
Space group C2/m (No. 12)
Inequivalent atoms, fractional coordinates:
1 La 0.0000 0.0000 0.0000 x2
2 La 0.0902 0.0000 0.6372 x4
3 Nd 0.0456 0.5000 0.8189 x4
4 Nd 0.1369 0.5000 0.4551 x4
5 Nd 0.1815 0.0000 0.2730 x4
6 Nd 0.2272 0.5000 0.0912 x4

Computed properties:
Spin magnetization = 0.00 μB/f.u.
Energy relative to the lowest polymorph listed for this composition = 0 meV/atom
ΔH_f (0 K) = 0.018 eV/atom
Volume = 35.9 Å³/atom
Density = 6.60 Mg/m³
Fermi-level density of states = 41.53 states/eV/cell

***

Entry from the Alexandria database: a relaxed structure of La2AlSb2 (PBE-GGA).

Unit cell a=8.5485 b=8.5485 c=4.2626 alpha=90.00 beta=90.00 gamma=90.00
Space group P4/mbm (No. 127)
Inequivalent atoms, fractional coordinates:
1 La 0.1443 0.3557 0.0000 x4
2 Al 0.0000 0.0000 0.0000 x2
3 Sb 0.1634 0.6634 0.5000 x4

Computed properties:
Spin magnetization = 0.00 μB/f.u.
Energy relative to the lowest polymorph listed for this composition = 147 meV/atom
Volume = 31.2 Å³/atom
Density = 5.85 Mg/m³
Fermi-level density of states = 8.40 states/eV/cell

***

Entry from the Alexandria database: a relaxed structure of BeFe2Ru (PBE-GGA).

Unit cell a=2.5556 b=3.6490 c=4.8056 alpha=90.00 beta=90.00 gamma=90.00
Space group Pmmm (No. 47)
Inequivalent atoms, fractional coordinates:
1 Be 0.0000 0.0000 0.0000 x1
2 Fe 0.5000 0.5000 0.2341 x2
3 Ru 0.0000 0.0000 0.5000 x1

Computed properties:
Spin magnetization = 3.02 μB/f.u.
ΔH_f (0 K) = 0.020 eV/atom
Volume = 11.2 Å³/atom
Density = 8.22 Mg/m³
Fermi-level density of states = 3.25 states/eV/cell

***

Entry from the Alexandria database: a relaxed structure of LiY12Ni6 (PBE-GGA).

Unit cell a=9.7969 b=9.7969 c=9.7969 alpha=90.00 beta=90.00 gamma=90.00
Space group Im-3 (No. 204)
Inequivalent atoms, fractional coordinates:
1 Li 0.0000 0.0000 0.0000 x2
2 Y 0.0000 0.1876 0.3063 x24
3 Ni 0.0000 0.3776 0.5000 x12

Computed properties:
Spin magnetization = 0.00 μB/f.u.
ΔH_f (0 K) = -0.262 eV/atom
Volume = 24.7 Å³/atom
Density = 5.04 Mg/m³
Fermi-level density of states = 52.68 states/eV/cell

***

Entry from the Alexandria database: a relaxed structure of MgTl3Sb2Se6 (PBE-GGA).

Unit cell a=7.1642 b=12.4623 c=7.8333 alpha=90.00 beta=107.70 gamma=90.00
Space group C2/m (No. 12)
Inequivalent atoms, fractional coordinates:
1 Mg 0.0000 0.0000 0.0000 x2
2 Tl 0.0000 0.1654 0.5000 x4
3 Tl 0.0000 0.5000 0.5000 x2
4 Sb 0.0000 0.3337 0.0000 x4
5 Se 0.2325 0.1625 0.2100 x8
6 Se 0.2433 0.5000 0.2049 x4

Computed properties:
Spin magnetization = 0.00 μB/f.u.
Total energy = -3.634 eV/atom
Volume = 27.8 Å³/atom
Density = 6.75 Mg/m³
Fermi-level density of states = 12.63 states/eV/cell

***

Entry from the Alexandria database: a relaxed structure of Os2RuWBr (PBE-GGA).

Unit cell a=4.6363 b=4.6363 c=4.6892 alpha=90.00 beta=90.00 gamma=90.00
Space group P4/mmm (No. 123)
Inequivalent atoms, fractional coordinates:
1 Os 0.0000 0.5000 0.0000 x2
2 Ru 0.0000 0.0000 0.0000 x1
3 W 0.5000 0.5000 0.5000 x1
4 Br 0.0000 0.0000 0.5000 x1

Computed properties:
Spin magnetization = 0.01 μB/f.u.
Total energy = -6.713 eV/atom
Volume = 20.2 Å³/atom
Density = 12.28 Mg/m³
Fermi-level density of states = 7.91 states/eV/cell

***

Entry from the Alexandria database: a relaxed structure of MnGe2Os (PBE-GGA).

Unit cell a=2.9565 b=2.9565 c=26.3140 alpha=90.00 beta=90.00 gamma=120.00
Space group R-3m (No. 166, hexagonal axes)
Inequivalent atoms, fractional coordinates:
1 Mn 0.0000 0.0000 0.0000 x3
2 Ge 0.0000 0.0000 0.0935 x6
3 Os 0.0000 0.0000 0.5000 x3

Computed properties:
Spin magnetization = 3.26 μB/f.u.
Energy relative to the lowest polymorph listed for this composition = 204 meV/atom
ΔH_f (0 K) = 0.321 eV/atom
Volume = 16.6 Å³/atom
Density = 9.77 Mg/m³
Fermi-level density of states = 7.52 states/eV/cell

***

Entry from the Alexandria database: a relaxed structure of NaTaO2F (PBE-GGA).

Unit cell a=3.9432 b=3.9432 c=3.5690 alpha=90.00 beta=90.00 gamma=90.00
Space group P4/mmm (No. 123)
Inequivalent atoms, fractional coordinates:
1 Na 0.0000 0.0000 0.0000 x1
2 Ta 0.5000 0.5000 0.5000 x1
3 O 0.0000 0.5000 0.0000 x2
4 F 0.0000 0.0000 0.5000 x1

Computed properties:
Spin magnetization = 0.73 μB/f.u.
Total energy = -5.461 eV/atom
Volume = 11.1 Å³/atom
Density = 7.63 Mg/m³
Fermi-level density of states = 2.58 states/eV/cell

***

Entry from the Alexandria database: a relaxed structure of LiAc2Th (PBE-GGA).

Unit cell a=3.8216 b=3.8216 c=9.7162 alpha=90.00 beta=90.00 gamma=90.00
Space group P4/mmm (No. 123)
Inequivalent atoms, fractional coordinates:
1 Li 0.0000 0.0000 0.0000 x1
2 Ac 0.5000 0.5000 0.2386 x2
3 Th 0.0000 0.0000 0.5000 x1

Computed properties:
Spin magnetization = 0.00 μB/f.u.
Energy relative to the lowest polymorph listed for this composition = 0 meV/atom
ΔH_f (0 K) = 0.082 eV/atom
Volume = 35.5 Å³/atom
Density = 8.11 Mg/m³
Fermi-level density of states = 3.56 states/eV/cell

***

Entry from the Alexandria database: a relaxed structure of Ta2BeRe (PBE-GGA).

Unit cell a=3.3720 b=4.4212 c=8.1019 alpha=90.00 beta=90.00 gamma=90.00
Space group Cmmm (No. 65)
Inequivalent atoms, fractional coordinates:
1 Ta 0.0000 0.0000 0.2266 x4
2 Be 0.0000 0.5000 0.0000 x2
3 Re 0.0000 0.5000 0.5000 x2

Computed properties:
Spin magnetization = 0.00 μB/f.u.
Energy relative to the lowest polymorph listed for this composition = 133 meV/atom
ΔH_f (0 K) = 0.002 eV/atom
Volume = 15.1 Å³/atom
Density = 15.32 Mg/m³
Fermi-level density of states = 3.05 states/eV/cell

***

Entry from the Alexandria database: a relaxed structure of CaAlTe (PBE-GGA).

Unit cell a=4.9447 b=4.9447 c=3.9707 alpha=90.00 beta=90.00 gamma=120.00
Space group P-6m2 (No. 187)
Inequivalent atoms, fractional coordinates:
1 Ca 0.0000 0.0000 0.0000 x1
2 Al 0.3333 0.6667 0.5000 x1
3 Te 0.6667 0.3333 0.5000 x1

Computed properties:
Spin magnetization = 0.00 μB/f.u.
Energy relative to the lowest polymorph listed for this composition = 32 meV/atom
Volume = 28.0 Å³/atom
Density = 3.84 Mg/m³
Fermi-level density of states = 1.31 states/eV/cell

***

Entry from the Alexandria database: a relaxed structure of TbCe2Rh (PBE-GGA).

Unit cell a=3.6809 b=3.6809 c=7.5707 alpha=90.00 beta=90.00 gamma=90.00
Space group P4/mmm (No. 123)
Inequivalent atoms, fractional coordinates:
1 Tb 0.0000 0.0000 0.0000 x1
2 Ce 0.5000 0.5000 0.3072 x2
3 Rh 0.0000 0.0000 0.5000 x1

Computed properties:
Spin magnetization = 0.00 μB/f.u.
Energy relative to the lowest polymorph listed for this composition = 121 meV/atom
ΔH_f (0 K) = -0.271 eV/atom
Volume = 25.6 Å³/atom
Density = 8.78 Mg/m³
Fermi-level density of states = 9.12 states/eV/cell

***

Entry from the Alexandria database: a relaxed structure of NdDyMgAg (PBE-GGA).

Unit cell a=3.7816 b=3.7816 c=7.4178 alpha=90.00 beta=90.00 gamma=90.00
Space group P4mm (No. 99)
Inequivalent atoms, fractional coordinates:
1 Nd 0.0000 0.0000 0.0000 x1
2 Dy 0.0000 0.0000 0.4842 x1
3 Mg 0.5000 0.5000 0.7333 x1
4 Ag 0.5000 0.5000 0.2629 x1

Computed properties:
Spin magnetization = 0.00 μB/f.u.
Energy relative to the lowest polymorph listed for this composition = 0 meV/atom
ΔH_f (0 K) = -0.184 eV/atom
Volume = 26.5 Å³/atom
Density = 6.87 Mg/m³
Fermi-level density of states = 3.63 states/eV/cell